#a
Computed, not measured: crystalline YSc3Ni2 at its relaxed geometry at the PBE level of DFT.

Properties
Calculated volume = 20.15 Å³/atom

Structure (CIF):
```
data_YSc3Ni2
_symmetry_space_group_name_H-M 'C 1 2/m 1'
_symmetry_Int_Tables_number 12
_cell_length_a 14.490
_cell_length_b 4.722
_cell_length_c 7.728
_cell_angle_alpha 90.00
_cell_angle_beta 113.83
_cell_angle_gamma 90.00
loop_
_symmetry_equiv_pos_as_xyz
'x,y,z'
'-x,-y,-z'
'-x,y,-z'
'x,-y,z'
'x+1/2,y+1/2,z'
'-x+1/2,-y+1/2,-z'
'-x+1/2,y+1/2,-z'
'x+1/2,-y+1/2,z'
loop_
_atom_site_label
_atom_site_fract_x
_atom_site_fract_y
_atom_site_fract_z
Y1 0.135 0.000 0.215
Sc1 0.068 0.000 0.731
Sc2 0.125 0.500 0.510
Sc3 0.187 0.500 0.987
Ni1 0.000 0.500 0.155
Ni2 0.222 0.000 0.627
```

=====

#b
Computed, not measured: crystalline YSc3Ni2 at its relaxed geometry at the PBE level of DFT.

Properties
Calculated volume = 20.64 Å³/atom

Structure (CIF):
```
data_YSc3Ni2
_symmetry_space_group_name_H-M 'P m c 21'
_symmetry_Int_Tables_number 26
_cell_length_a 3.477
_cell_length_b 8.907
_cell_length_c 7.997
_cell_angle_alpha 90.00
_cell_angle_beta 90.00
_cell_angle_gamma 90.00
loop_
_symmetry_equiv_pos_as_xyz
'x,y,z'
'-x,-y,z+1/2'
'-x,y,z'
'x,-y,z+1/2'
loop_
_atom_site_label
_atom_site_fract_x
_atom_site_fract_y
_atom_site_fract_z
Y1 0.000 0.072 0.000
Sc1 0.000 0.295 0.661
Sc2 0.500 0.222 0.320
Sc3 0.500 0.437 0.981
Ni1 0.000 0.424 0.258
Ni2 0.500 0.085 0.719
```

=====

Which one is the most stable? From the structures above, #b.